Here is a geometry-optimized BaCaEuWO6 structure from the Alexandria database. Energies are from GGA+U.

Structure (POSCAR):
```
BaCaEuWO6
1.0
5.917 0.000 0.000
0.000 5.917 0.000
0.000 0.000 8.668
Ba Ca Eu W O
2 2 2 2 12
direct
0.000 0.500 0.250 Ba
0.500 0.000 0.750 Ba
0.000 0.500 0.750 Ca
0.500 0.000 0.250 Ca
0.000 0.000 0.000 Eu
0.500 0.500 0.500 Eu
0.000 0.000 0.500 W
0.500 0.500 0.000 W
0.000 0.000 0.271 O
0.000 0.000 0.729 O
0.152 0.294 0.521 O
0.206 0.348 0.979 O
0.294 0.848 0.479 O
0.348 0.794 0.021 O
0.500 0.500 0.229 O
0.500 0.500 0.771 O
0.652 0.206 0.021 O
0.706 0.152 0.479 O
0.794 0.652 0.979 O
0.848 0.706 0.521 O
```

## Properties
Energy, eV for the cell shown: -155.0
Calculated density, g cm⁻³: 6.67
Spin magnetization, μB/f.u.: 7.0
Distance to the lowest polymorph of the same formula, meV per atom: 84